[1]
! TePdSe4 (GGA-PBE, optimized geometry); values from VASP
! - space-group type = C2/m
! - E_tot (eV per atom) = -3.819
! - M_tot (μB/cell) = 0.0
&SYSTEM
  ibrav = 0, nat = 6, ntyp = 3
/
ATOMIC_SPECIES
Te 127.60 Te.upf
Pd 106.42 Pd.upf
Se 78.96 Se.upf
ATOMIC_POSITIONS angstrom
Te 0.000 0.000 0.000
Pd 3.421 0.000 3.546
Se -1.967 0.000 5.041
Se 0.471 0.000 5.034
Se 6.372 0.000 2.059
Se 8.809 0.000 2.052
CELL_PARAMETERS angstrom
6.015 -1.911 0.000
6.015 1.911 0.000
-5.187 0.000 7.093


[2]
! Te2PdSe (GGA-PBE, optimized geometry); values from VASP
! - space-group type = I-42d
! - E_tot (eV per atom) = -3.684
! - M_tot (μB/cell) = 0.0
&SYSTEM
  ibrav = 0, nat = 8, ntyp = 3
/
ATOMIC_SPECIES
Te 127.60 Te.upf
Pd 106.42 Pd.upf
Se 78.96 Se.upf
ATOMIC_POSITIONS angstrom
Te 4.719 1.313 -1.610
Te 1.313 1.573 1.610
Te -1.573 1.833 4.829
Te 1.833 1.573 8.049
Pd 0.000 0.000 0.000
Pd 0.000 3.146 3.219
Se 3.146 0.000 3.219
Se 0.000 0.000 6.439
CELL_PARAMETERS angstrom
-3.146 3.146 6.439
3.146 -3.146 6.439
3.146 3.146 -6.439


[3]
! TePd3Se2 (GGA-PBE, optimized geometry); values from VASP
! - space-group type = C2/c
! - E_tot (eV per atom) = -4.508
! - M_tot (μB/cell) = 0.0
&SYSTEM
  ibrav = 0, nat = 12, ntyp = 3
/
ATOMIC_SPECIES
Te 127.60 Te.upf
Pd 106.42 Pd.upf
Se 78.96 Se.upf
ATOMIC_POSITIONS angstrom
Te 1.214 5.331 4.375
Te 2.546 -5.331 1.458
Pd 0.274 3.099 2.917
Pd 1.772 1.089 0.192
Pd 0.440 -1.089 3.108
Pd 1.606 -3.099 0.000
Pd 3.319 1.089 2.725
Pd 1.987 -1.089 5.642
Se 2.546 3.356 1.458
Se 1.214 1.153 4.375
Se 2.546 -1.153 1.458
Se 1.214 -3.356 4.375
CELL_PARAMETERS angstrom
3.212 -6.198 0.000
3.212 6.198 0.000
-2.664 0.000 5.833


[4]
! Te2PdSe (GGA-PBE, optimized geometry); values from VASP
! - space-group type = R-3m
! - E_tot (eV per atom) = -3.843
! - M_tot (μB/cell) = 0.0
&SYSTEM
  ibrav = 0, nat = 4, ntyp = 3
/
ATOMIC_SPECIES
Te 127.60 Te.upf
Pd 106.42 Pd.upf
Se 78.96 Se.upf
ATOMIC_POSITIONS angstrom
Te 0.000 0.000 2.647
Te 0.000 0.000 21.328
Pd 0.000 0.000 11.987
Se 0.000 0.000 0.000
CELL_PARAMETERS angstrom
2.069 1.195 7.992
-2.069 1.195 7.992
0.000 -2.390 7.992


[5]
! TePdSe (GGA-PBE, optimized geometry); values from VASP
! - space-group type = Pmn2_1
! - E_tot (eV per atom) = -4.221
! - M_tot (μB/cell) = 0.0
! - energy relative to the lowest polymorph listed for this composition (meV per atom) = 26
&SYSTEM
  ibrav = 0, nat = 6, ntyp = 3
/
ATOMIC_SPECIES
Te 127.60 Te.upf
Pd 106.42 Pd.upf
Se 78.96 Se.upf
ATOMIC_POSITIONS angstrom
Te 0.000 0.233 0.000
Te 2.045 5.040 3.292
Pd 0.000 1.377 2.503
Pd 2.045 3.897 5.795
Se 0.000 2.395 5.003
Se 2.045 2.879 1.712
CELL_PARAMETERS angstrom
4.090 0.000 0.000
0.000 5.273 0.000
0.000 0.000 6.583


[6]
! Te2PdSe2 (GGA-PBE, optimized geometry); values from VASP
! - space-group type = P4/mbm
! - E_tot (eV per atom) = -3.647
! - M_tot (μB/cell) = 0.0
! - energy relative to the lowest polymorph listed for this composition (meV per atom) = 168
&SYSTEM
  ibrav = 0, nat = 10, ntyp = 3
/
ATOMIC_SPECIES
Te 127.60 Te.upf
Pd 106.42 Pd.upf
Se 78.96 Se.upf
ATOMIC_POSITIONS angstrom
Te 1.497 1.864 0.000
Te 1.864 5.224 0.000
Te 4.857 1.497 0.000
Te 5.224 4.857 0.000
Pd 0.000 0.000 2.845
Pd 3.360 3.360 2.845
Se 1.152 2.209 2.845
Se 2.209 5.569 2.845
Se 4.512 1.152 2.845
Se 5.569 4.512 2.845
CELL_PARAMETERS angstrom
6.721 0.000 0.000
0.000 6.721 0.000
0.000 0.000 5.690